1.
First-principles (GGA-PBE) data for an optimized crystal structure of Ba3Ga2O, as listed in the Alexandria database.

SG: C2/c, No. 15
VASP energy in eV/atom: -3.768
Crystal system: monoclinic
Energy relative to the elements, uncorrected in meV per atom: -971.2

Cell and atoms, written as POSCAR:
```
Ba3Ga2O
1.0
0.598 2.373 6.889
1.779 -6.567 2.676
7.690 1.055 -0.082
O Ba Ga
2 6 4
Direct
0.924 0.076 0.750
0.076 0.924 0.250
0.807 0.865 0.483
0.135 0.193 0.017
0.193 0.135 0.517
0.328 0.672 0.250
0.865 0.807 0.983
0.672 0.328 0.750
0.588 0.207 0.205
0.793 0.412 0.295
0.207 0.588 0.705
0.412 0.793 0.795
```

2.
First-principles (GGA-PBE) data for an optimized crystal structure of Ba3GaO4, as listed in the Alexandria database.

SG: Pmn2_1, No. 31
VASP energy in eV/atom: -5.737
Crystal system: orthorhombic
Energy relative to the elements, uncorrected in meV per atom: -2158.3

Cell and atoms, written as POSCAR:
```
Ba3GaO4
1.0
-5.884 0.814 1.102
0.115 -5.620 4.762
1.814 5.072 5.941
Ga O Ba
2 8 6
Direct
0.504 0.832 0.500
0.004 0.168 0.000
0.072 0.914 0.000
0.688 0.186 0.000
0.095 0.286 0.799
0.572 0.086 0.500
0.188 0.814 0.500
0.095 0.286 0.201
0.595 0.714 0.701
0.595 0.714 0.299
0.523 0.345 0.254
0.023 0.655 0.246
0.523 0.345 0.746
0.023 0.655 0.754
0.015 0.129 0.500
0.515 0.871 0.000
```

3.
First-principles (GGA-PBE) data for an optimized crystal structure of Ba2GaO, as listed in the Alexandria database.

SG: Fm-3m, No. 225
VASP energy in eV/atom: -3.495
Crystal system: cubic
Energy relative to the lowest polymorph listed for this composition in eV per atom: 0.677
Energy relative to the elements, uncorrected in meV per atom: -537.7

Cell and atoms, written as POSCAR:
```
Ba2GaO
1.0
0.000 3.870 3.870
3.870 0.000 3.870
3.870 3.870 0.000
Ba Ga O
2 1 1
Direct
0.250 0.250 0.250
0.750 0.750 0.750
0.500 0.500 0.500
0.000 0.000 0.000
```

4.
First-principles (GGA-PBE) data for an optimized crystal structure of Ba2GaO3, as listed in the Alexandria database.

SG: Cmcm, No. 63
VASP energy in eV/atom: -5.601
Crystal system: orthorhombic
Energy relative to the elements, uncorrected in meV per atom: -1976.1

Cell and atoms, written as POSCAR:
```
Ba2GaO3
1.0
3.693 0.000 0.000
0.000 6.326 0.000
-1.846 0.000 9.543
O Ba Ga
6 4 2
Direct
0.593 0.013 0.186
0.407 0.987 0.814
0.796 0.750 0.593
0.204 0.250 0.407
0.593 0.487 0.186
0.407 0.513 0.814
0.169 0.750 0.338
0.831 0.250 0.662
0.975 0.750 0.949
0.025 0.250 0.051
0.337 0.750 0.675
0.663 0.250 0.325
```

5.
First-principles (GGA-PBE) data for an optimized crystal structure of Ba3GaO5, as listed in the Alexandria database.

SG: I4/mcm, No. 140
VASP energy in eV/atom: -5.991
Crystal system: tetragonal
Energy relative to the elements, uncorrected in meV per atom: -2259.0

Cell and atoms, written as POSCAR:
```
Ba3GaO5
1.0
7.351 0.000 0.000
0.000 7.351 0.000
-3.675 -3.675 5.986
O Ba Ga
10 6 2
Direct
0.488 0.710 0.698
0.210 0.988 0.698
0.512 0.290 0.302
0.988 0.488 0.698
0.500 0.500 0.000
0.790 0.012 0.302
0.290 0.790 0.302
0.000 0.000 0.000
0.710 0.210 0.698
0.012 0.512 0.302
0.324 0.824 0.000
0.750 0.750 0.500
0.676 0.176 0.000
0.176 0.324 0.000
0.824 0.676 0.000
0.250 0.250 0.500
0.250 0.750 0.500
0.750 0.250 0.500
```

6.
First-principles (GGA-PBE) data for an optimized crystal structure of Ba7Ga2O2, as listed in the Alexandria database.

SG: C2/m, No. 12
VASP energy in eV/atom: -3.595
Crystal system: monoclinic
Energy relative to the elements, uncorrected in meV per atom: -919.3

Cell and atoms, written as POSCAR:
```
Ba7Ga2O2
1.0
7.147 -0.244 -0.352
-1.017 8.585 0.648
-1.017 -2.408 8.266
Ba O Ga
7 2 2
Direct
0.728 0.407 0.092
0.728 0.092 0.407
0.272 0.593 0.908
0.769 0.618 0.618
0.272 0.908 0.593
0.231 0.382 0.382
0.000 0.000 0.000
0.912 0.218 0.218
0.088 0.782 0.782
0.500 0.296 0.704
0.500 0.704 0.296
```

7.
First-principles (GGA-PBE) data for an optimized crystal structure of Ba4GaO, as listed in the Alexandria database.

SG: Pmn2_1, No. 31
VASP energy in eV/atom: -3.519
Crystal system: orthorhombic
Energy relative to the lowest polymorph listed for this composition in eV per atom: 0.004
Energy relative to the elements, uncorrected in meV per atom: -906.6

Cell and atoms, written as POSCAR:
```
Ba4GaO
1.0
5.919 0.000 0.000
0.000 7.784 0.000
0.000 0.000 10.886
Ba O Ga
8 2 2
Direct
0.379 0.613 0.500
0.393 0.712 0.000
0.888 0.812 0.311
0.893 0.288 0.500
0.888 0.812 0.689
0.879 0.387 0.000
0.388 0.188 0.189
0.388 0.188 0.811
0.929 0.613 0.500
0.429 0.387 0.000
0.894 0.965 0.000
0.394 0.035 0.500
```

8.
First-principles (GGA-PBE) data for an optimized crystal structure of Ba2GaO4, as listed in the Alexandria database.

SG: I4/mmm, No. 139
VASP energy in eV/atom: -5.940
Crystal system: tetragonal
Energy relative to the elements, uncorrected in meV per atom: -2124.5

Cell and atoms, written as POSCAR:
```
Ba2GaO4
1.0
-3.961 1.012 -0.322
0.212 -0.464 -4.069
-3.568 -6.146 -1.552
Ba O Ga
2 4 1
Direct
0.641 0.641 0.718
0.359 0.359 0.282
0.849 0.849 0.303
0.000 0.500 0.000
0.151 0.151 0.697
0.500 0.000 0.000
0.000 0.000 0.000
```

9.
First-principles (GGA-PBE) data for an optimized crystal structure of BaGaOsO5, as listed in the Alexandria database.

SG: C2/c, No. 15
VASP energy in eV/atom: -6.858
Crystal system: monoclinic
Energy relative to the elements, uncorrected in meV per atom: -1737.1

Cell and atoms, written as POSCAR:
```
BaGaOsO5
1.0
-0.290 -5.041 -3.128
4.171 3.403 -2.510
3.084 -2.099 6.417
Os Ga O Ba
2 2 10 2
Direct
0.000 0.000 0.500
0.000 0.000 0.000
0.305 0.695 0.750
0.695 0.305 0.250
0.894 0.290 0.090
0.290 0.894 0.590
0.710 0.106 0.410
0.106 0.710 0.910
0.635 0.774 0.912
0.226 0.365 0.588
0.037 0.963 0.250
0.774 0.635 0.412
0.365 0.226 0.088
0.963 0.037 0.750
0.336 0.664 0.250
0.664 0.336 0.750
```

10.
First-principles (GGA-PBE) data for an optimized crystal structure of Ba3Ga2OsO8, as listed in the Alexandria database.

SG: P-3m1, No. 164
VASP energy in eV/atom: -6.448
Crystal system: trigonal
Energy relative to the elements, uncorrected in meV per atom: -1967.8

Cell and atoms, written as POSCAR:
```
Ba3Ga2OsO8
1.0
5.788 0.000 0.000
-2.894 5.013 0.000
0.000 0.000 7.507
O Os Ba Ga
8 1 3 2
Direct
0.839 0.161 0.668
0.839 0.678 0.668
0.678 0.839 0.332
0.322 0.161 0.668
0.161 0.322 0.332
0.161 0.839 0.332
0.667 0.333 0.008
0.333 0.667 0.992
0.000 0.000 0.500
0.000 0.000 0.000
0.333 0.667 0.664
0.667 0.333 0.336
0.333 0.667 0.228
0.667 0.333 0.772
```

11.
First-principles (GGA-PBE) data for an optimized crystal structure of BaPaGa2O6, as listed in the Alexandria database.

SG: R-3, No. 148
VASP energy in eV/atom: -7.144
Crystal system: trigonal
Energy relative to the elements, uncorrected in meV per atom: -2421.8

Cell and atoms, written as POSCAR:
```
BaPaGa2O6
1.0
5.809 0.000 0.000
2.904 5.030 0.000
2.904 1.677 6.013
Ga O Pa Ba
2 6 1 1
Direct
0.225 0.225 0.326
0.775 0.775 0.674
0.472 0.723 0.713
0.528 0.277 0.287
0.723 0.093 0.713
0.277 0.907 0.287
0.907 0.528 0.287
0.093 0.472 0.713
0.500 0.500 0.500
0.000 0.000 0.000
```

12.
First-principles (GGA-PBE) data for an optimized crystal structure of Ba3PaGa2O9, as listed in the Alexandria database.

SG: P-3m1, No. 164
VASP energy in eV/atom: -6.962
Crystal system: trigonal
Energy relative to the elements, uncorrected in meV per atom: -2566.0

Cell and atoms, written as POSCAR:
```
Ba3PaGa2O9
1.0
5.884 0.000 0.000
-2.942 5.096 0.000
0.000 0.000 7.301
O Pa Ba Ga
9 1 3 2
Direct
0.000 0.500 0.000
0.500 0.500 0.000
0.172 0.343 0.324
0.343 0.172 0.676
0.828 0.172 0.676
0.500 0.000 0.000
0.172 0.828 0.324
0.657 0.828 0.324
0.828 0.657 0.676
0.000 0.000 0.500
0.000 0.000 0.000
0.333 0.667 0.690
0.667 0.333 0.310
0.667 0.333 0.838
0.333 0.667 0.162
```